Entry 1:
## Mg2P2Pt (PBE)

Data for Mg2P2Pt after structural relaxation.

Cell and atoms, written as POSCAR:
```
Mg2P2Pt
1.0
6.6197 0.0000 0.0000
0.0000 6.6197 0.0000
0.0000 0.0000 3.8689
Mg P Pt
4 4 2
direct
0.1586 0.3414 0.0000
0.3414 0.8414 0.0000
0.6586 0.1586 0.0000
0.8414 0.6586 0.0000
0.1549 0.6549 0.5000
0.3451 0.1549 0.5000
0.6549 0.8451 0.5000
0.8451 0.3451 0.5000
0.0000 0.0000 0.5000
0.5000 0.5000 0.5000
```

Summary:
Its space group is P4/mbm. Its calculated total energy is -22.1 eV per formula unit. Its polymorph energy (0 for the lowest one) is 0.00 kJ per mole of atoms. The formation energy comes out at -417 meV/atom. The value obtained for the density of states at the Fermi level is 2.32 states/eV per cell.


Entry 2:
## Ba2AlHg6Au (PBE)

Data for Ba2AlHg6Au after structural relaxation.

Cell and atoms, written as POSCAR:
```
Ba2AlHg6Au
1.0
5.7855 0.0000 0.0000
1.5154 7.1898 0.0000
2.2914 -0.0611 7.0074
Ba Al Hg Au
2 1 6 1
direct
0.0330 0.2943 0.2493
0.9670 0.7057 0.7507
0.5000 0.0000 0.5000
0.0183 0.7932 0.2634
0.3571 0.9222 0.8935
0.4946 0.3415 0.6547
0.5054 0.6585 0.3453
0.6429 0.0778 0.1065
0.9817 0.2068 0.7366
0.5000 0.5000 0.0000
```

Summary:
Its space group is P-1. Its calculated total energy is -15.5 eV per formula unit. The formation energy comes out at -278 meV/atom. The value obtained for the density of states at the Fermi level is 5.75 states/eV per cell.


Entry 3:
## Zr2TcP (PBE)

Data for Zr2TcP after structural relaxation.

Cell and atoms, written as POSCAR:
```
Zr2TcP
1.0
-2.1465 2.1637 3.7604
2.1465 -2.1637 3.7604
2.1465 2.1637 -3.7604
Zr Tc P
2 1 1
direct
0.2493 0.2493 0.0000
0.7507 0.7507 0.0000
0.0000 0.5000 0.5000
0.5000 0.0000 0.5000
```

Summary:
Its space group is Immm. Its calculated total energy is -34.5 eV per formula unit. The formation energy comes out at -415 meV/atom. The value obtained for the density of states at the Fermi level is 3.06 states/eV per cell.


Entry 4:
## Ac6Ge2N (PBE)

Data for Ac6Ge2N after structural relaxation.

Cell and atoms, written as POSCAR:
```
Ac6Ge2N
1.0
7.0318 0.0000 0.0000
0.0000 8.3874 0.0000
-6.7911 0.0000 10.2428
Ac Ge N
12 4 2
direct
0.1075 0.1651 0.4427
0.1075 0.3349 0.9427
0.3054 0.7114 0.4418
0.3054 0.7886 0.9418
0.3861 0.0354 0.2546
0.3861 0.4646 0.7546
0.6139 0.5354 0.2454
0.6139 0.9646 0.7454
0.6946 0.2114 0.0582
0.6946 0.2886 0.5582
0.8925 0.6651 0.0573
0.8925 0.8349 0.5573
0.1905 0.1170 0.7552
0.1905 0.3830 0.2552
0.8095 0.6170 0.7448
0.8095 0.8830 0.2448
0.5000 0.0000 0.5000
0.5000 0.5000 0.0000
```

Summary:
Its space group is P2_1/c. Its calculated total energy is -47.4 eV per formula unit. Its polymorph energy (0 for the lowest one) is 0.00 kJ per mole of atoms. The value obtained for the density of states at the Fermi level is 19.29 states/eV per cell.


Entry 5:
## Cr2FeTc (PBE)

Data for Cr2FeTc after structural relaxation.

Cell and atoms, written as POSCAR:
```
Cr2FeTc
1.0
4.0690 0.0000 0.0000
0.0000 4.0690 0.0000
0.0000 0.0000 2.9911
Cr Fe Tc
2 1 1
direct
0.0000 0.5000 0.0000
0.5000 0.0000 0.0000
0.0000 0.0000 0.5000
0.5000 0.5000 0.5000
```

Summary:
Its space group is P4/mmm. Its calculated total energy is -37.7 eV per formula unit. Its polymorph energy (0 for the lowest one) is 0.39 kJ per mole of atoms. The formation energy comes out at 103 meV/atom. The value obtained for the density of states at the Fermi level is 4.31 states/eV per cell.


Entry 6:
## TcHg3 (PBE)

Data for TcHg3 after structural relaxation.

Cell and atoms, written as POSCAR:
```
TcHg3
1.0
0.0000 3.4583 3.4583
3.4583 0.0000 3.4583
3.4583 3.4583 0.0000
Tc Hg
1 3
direct
0.0000 0.0000 0.0000
0.2500 0.2500 0.2500
0.5000 0.5000 0.5000
0.7500 0.7500 0.7500
```

Summary:
Its space group is Fm-3m. Its calculated total energy is -8.3 eV per formula unit. Its polymorph energy (0 for the lowest one) is 39.35 kJ per mole of atoms. The formation energy comes out at 750 meV/atom. The value obtained for the density of states at the Fermi level is 3.46 states/eV per cell.